Density functional theory data (PBE) for a geometry-optimized BaPm2Se4 structure.

Cell and atoms, written as POSCAR:
```
BaPm2Se4
1.0
4.321 0.000 0.000
0.000 12.958 0.000
0.000 0.000 15.530
Ba Pm Se
4 8 16
Direct
0.250 0.757 0.338
0.750 0.243 0.662
0.250 0.257 0.162
0.750 0.743 0.838
0.750 0.071 0.892
0.250 0.929 0.108
0.750 0.571 0.608
0.250 0.429 0.392
0.250 0.422 0.899
0.750 0.578 0.101
0.250 0.922 0.601
0.750 0.078 0.399
0.750 0.082 0.080
0.250 0.918 0.920
0.750 0.582 0.420
0.250 0.418 0.580
0.750 0.979 0.717
0.250 0.021 0.283
0.750 0.479 0.783
0.250 0.521 0.217
0.750 0.369 0.024
0.250 0.631 0.976
0.750 0.869 0.476
0.250 0.131 0.524
0.250 0.209 0.829
0.750 0.791 0.171
0.250 0.709 0.671
0.750 0.291 0.329
```

Calculated values
E_tot = -5.5951 eV per atom
Energy above the most stable polymorph in this dataset = 0.0 meV per atom
Raw formation energy = -1.97 eV/atom
Theoretical density = 5.68 g cm⁻³

---

Density functional theory data (PBE) for a geometry-optimized Tm5Si5Pt2 structure.

Cell and atoms, written as POSCAR:
```
Tm5Si5Pt2
1.0
4.095 0.000 0.924
2.037 7.277 0.511
0.284 -0.378 8.278
Tm Si Pt
5 5 2
Direct
0.000 0.500 0.500
0.690 0.698 0.921
0.369 0.935 0.328
0.631 0.065 0.672
0.310 0.302 0.079
0.730 0.212 0.328
0.945 0.296 0.814
0.055 0.704 0.186
0.270 0.788 0.672
0.000 0.000 0.000
0.391 0.464 0.754
0.609 0.536 0.246
```

Calculated values
E_tot = -6.0058 eV per atom
Raw formation energy = -0.88 eV/atom
Theoretical density = 9.33 g cm⁻³

---

Density functional theory data (PBE) for a geometry-optimized PmNd7Ho2 structure.

Cell and atoms, written as POSCAR:
```
PmNd7Ho2
1.0
6.262 -0.863 -0.229
-0.993 9.148 -2.913
-0.865 -0.269 6.234
Pm Nd Ho
1 7 2
Direct
0.000 0.000 0.000
0.097 0.698 0.200
0.903 0.302 0.800
0.398 0.797 0.798
0.602 0.203 0.202
0.700 0.899 0.401
0.300 0.101 0.599
0.500 0.500 0.000
0.799 0.598 0.599
0.201 0.402 0.401
```

Calculated values
E_tot = -4.7120 eV per atom
Energy above the most stable polymorph in this dataset = 0.0 meV per atom
ΔE_f = 0.0161 eV/atom
Theoretical density = 7.19 g cm⁻³

---

Density functional theory data (PBE) for a geometry-optimized AlTlPb2 structure.

Cell and atoms, written as POSCAR:
```
AlTlPb2
1.0
-8.403 2.150 6.034
-9.352 -1.063 4.801
-7.232 -0.804 7.661
Pb Tl Al
2 1 1
Direct
0.010 0.010 0.010
0.251 0.251 0.251
0.491 0.491 0.491
0.748 0.748 0.748
```

Calculated values
E_tot = -3.2084 eV per atom
Energy above the most stable polymorph in this dataset = 60.5 meV per atom
ΔE_f = 0.1730 eV/atom
Theoretical density = 9.38 g cm⁻³

---

Density functional theory data (PBE) for a geometry-optimized Er3TmAu2 structure.

Cell and atoms, written as POSCAR:
```
Er3TmAu2
1.0
-0.354 3.929 -2.934
-6.753 0.750 1.819
2.396 5.244 6.733
Er Tm Au
6 2 4
Direct
0.000 0.486 0.927
0.000 0.986 0.073
0.500 0.649 0.170
0.500 0.149 0.830
0.000 0.351 0.330
0.000 0.851 0.670
0.500 0.514 0.573
0.500 0.014 0.427
0.500 0.741 0.848
0.500 0.241 0.152
0.000 0.259 0.651
0.000 0.759 0.349
```

Calculated values
E_tot = -4.7765 eV per atom
Energy above the most stable polymorph in this dataset = 0.0 meV per atom
ΔE_f = -0.6574 eV/atom
Theoretical density = 11.53 g cm⁻³

---

Density functional theory data (PBE) for a geometry-optimized Ti8Si2H structure.

Cell and atoms, written as POSCAR:
```
Ti8Si2H
1.0
-2.243 -3.582 -1.645
1.931 0.975 -4.755
5.379 -2.724 4.849
Ti Si H
8 2 1
Direct
0.414 0.581 0.828
0.635 0.969 0.269
0.783 0.715 0.567
0.993 0.233 0.985
0.217 0.285 0.433
0.365 0.031 0.731
0.586 0.419 0.172
0.007 0.767 0.015
0.830 0.290 0.660
0.170 0.710 0.340
0.500 0.000 0.000
```

Calculated values
E_tot = -7.3202 eV per atom
Theoretical density = 4.54 g cm⁻³

---

Density functional theory data (PBE) for a geometry-optimized SrPr4S5 structure.

Cell and atoms, written as POSCAR:
```
SrPr4S5
1.0
4.009 0.000 0.916
1.689 6.738 1.840
-0.003 0.010 9.246
Sr Pr S
1 4 5
Direct
0.000 0.000 0.000
0.598 0.208 0.597
0.197 0.397 0.209
0.803 0.603 0.791
0.402 0.792 0.403
0.199 0.905 0.698
0.801 0.095 0.302
0.396 0.308 0.901
0.000 0.500 0.500
0.604 0.692 0.099
```

Calculated values
E_tot = -6.1775 eV per atom
Raw formation energy = -2.03 eV/atom
Theoretical density = 5.40 g cm⁻³

---

Density functional theory data (PBE) for a geometry-optimized CsSc2BeB structure.

Cell and atoms, written as POSCAR:
```
CsSc2BeB
1.0
5.121 0.000 0.000
0.000 3.653 0.000
0.000 0.000 5.121
Cs Sc B Be
1 2 1 1
Direct
0.500 0.500 0.500
0.000 0.000 0.500
0.500 0.000 0.000
0.000 0.500 0.000
0.000 0.000 0.000
```

Calculated values
E_tot = -3.9305 eV per atom
ΔE_f = 0.8535 eV/atom
Theoretical density = 4.21 g cm⁻³